# 1
Density functional theory data (PBE-GGA) for an optimized crystal structure of Cu4BiPd.

Lattice parameters (Å, degrees): 5.0317 5.0317 5.0317 60.00 60.00 60.00
Sites, in units of the cell vectors:
Cu (0.6260, 0.6260, 0.1219)
Cu (0.6260, 0.1219, 0.6260)
Cu (0.6260, 0.6260, 0.6260)
Cu (0.1219, 0.6260, 0.6260)
Bi (0.2500, 0.2500, 0.2500)
Pd (0.0000, 0.0000, 0.0000)

Output
The formation energy from the elements comes out at 0.0023 eV per atom. Its crystal system is cubic. For the density of states at the Fermi level, the calculation gives 1.99 states/eV/f.u.

=====

# 2
Density functional theory data (PBE-GGA) for an optimized crystal structure of Na3TiRh.

Lattice parameters (Å, degrees): 5.4883 5.4883 5.4883 90.00 90.00 90.00
Last column: magnetic moment on the atom in μB.
Sites, in units of the cell vectors:
Na (0.0000, 0.5000, 0.0000)  0.04
Na (0.0000, 0.0000, 0.5000)  0.03
Na (0.5000, 0.0000, 0.0000)  0.05
Rh (0.5000, 0.5000, 0.5000)  0.16
Ti (0.0000, 0.0000, 0.0000)  2.26

Output
The formation energy from the elements comes out at 1.6593 eV per atom. Its crystal system is cubic. For the density of states at the Fermi level, the calculation gives 12.87 states/eV/f.u.

=====

Look up the formation energy from the elements of the second one. 1.6593 eV per atom